(1)
InGa4Hg: relaxed, PBE.

As for the magnetic moment: 0.00 μB per cell. The energy above the most stable polymorph in this dataset is 0 meV/atom. The value obtained for the formation energy is 0.05 eV per atom. Its density of states at the Fermi level is 2.990 states/eV per cell.

Cell lengths 6.0095, 6.0095, 6.0095 Å; angles 139.96, 100.65, 92.85 degrees
Positions (direct):
In  0.0000  0.0000  0.0000
Ga  0.0583  0.7398  0.3186
Ga  0.2687  0.4476  0.8211
Ga  0.4212  0.7398  0.6814
Ga  0.6264  0.4476  0.1789
Hg  0.6849  0.1849  0.5000

***

(2)
In8GaHg6: relaxed, PBE.

As for the magnetic moment: 0.00 μB per cell. The energy above the most stable polymorph in this dataset is 9 meV/atom. The value obtained for the formation energy is 0.04 eV per atom. Its density of states at the Fermi level is 5.502 states/eV per cell.

Cell lengths 8.5502, 8.5502, 8.5502 Å; angles 57.68, 57.68, 57.68 degrees
Positions (direct):
In  0.0219  0.7250  0.3912
In  0.1693  0.1693  0.1693
In  0.2750  0.6088  0.9781
In  0.3912  0.0219  0.7250
In  0.6088  0.9781  0.2750
In  0.7250  0.3912  0.0219
In  0.8307  0.8307  0.8307
In  0.9781  0.2750  0.6088
Ga  0.5000  0.5000  0.5000
Hg  0.1294  0.4260  0.7565
Hg  0.2435  0.8706  0.5740
Hg  0.4260  0.7565  0.1294
Hg  0.5740  0.2435  0.8706
Hg  0.7565  0.1294  0.4260
Hg  0.8706  0.5740  0.2435

***

(3)
In5Ga2Hg4: relaxed, PBE.

As for the magnetic moment: 0.00 μB per cell. The value obtained for the formation energy is 0.06 eV per atom. Its density of states at the Fermi level is 3.673 states/eV per cell.

Cell lengths 3.6867, 7.2488, 11.2478 Å; angles 80.53, 86.42, 76.98 degrees
Positions (direct):
In  0.0000  0.0000  0.0000
In  0.3130  0.3096  0.5066
In  0.3238  0.3328  0.0677
In  0.6762  0.6672  0.9323
In  0.6870  0.6904  0.4934
Ga  0.0524  0.9411  0.6221
Ga  0.9476  0.0589  0.3779
Hg  0.2506  0.5374  0.7386
Hg  0.4781  0.1080  0.7766
Hg  0.5219  0.8920  0.2234
Hg  0.7494  0.4626  0.2614

***

(4)
In2GaHg: relaxed, PBE.

As for the magnetic moment: 0.00 μB per cell. The value obtained for the formation energy is 0.05 eV per atom. Its density of states at the Fermi level is 1.556 states/eV per cell.

Cell lengths 8.0424, 3.5534, 3.5534 Å; angles 80.02, 90.00, 90.00 degrees
Positions (direct):
In  0.2329  0.0000  0.0000
In  0.7671  0.0000  0.0000
Ga  0.0000  0.5231  0.5231
Hg  0.5000  0.4460  0.4460

***

What did the third record say?
In5Ga2Hg4: relaxed, PBE.

As for the magnetic moment: 0.00 μB per cell. The value obtained for the formation energy is 0.06 eV per atom. Its density of states at the Fermi level is 3.673 states/eV per cell.

Cell lengths 3.6867, 7.2488, 11.2478 Å; angles 80.53, 86.42, 76.98 degrees
Positions (direct):
In  0.0000  0.0000  0.0000
In  0.3130  0.3096  0.5066
In  0.3238  0.3328  0.0677
In  0.6762  0.6672  0.9323
In  0.6870  0.6904  0.4934
Ga  0.0524  0.9411  0.6221
Ga  0.9476  0.0589  0.3779
Hg  0.2506  0.5374  0.7386
Hg  0.4781  0.1080  0.7766
Hg  0.5219  0.8920  0.2234
Hg  0.7494  0.4626  0.2614